Record 1
A geometry-optimized BaB2HRu structure. Source: the Alexandria database, functional PBE.

Cell lengths 3.9801, 3.9801, 4.5034 Å; angles 90.00, 90.00, 90.00 degrees
Atoms (fractional coordinates):
Ba 0.0000 0.0000 0.0000
B 0.0000 0.5000 0.5000
B 0.5000 0.0000 0.5000
H 0.0000 0.0000 0.5000
Ru 0.5000 0.5000 0.0000

## Properties
The calculated volume comes out at 71.3 Å³/f.u. For the raw total energy, the calculation gives -3.877 eV per atom. The magnetic moment is 0.00 μB per formula unit. Its space group is No. 123.

Record 2
A geometry-optimized Cr2AgHg structure. Source: the Alexandria database, functional PBE.

Cell lengths 4.6424, 4.6424, 4.6424 Å; angles 60.00, 60.00, 60.00 degrees
Atoms (fractional coordinates):
Cr 0.0000 0.0000 0.0000
Cr 0.2500 0.2500 0.2500
Ag 0.5000 0.5000 0.5000
Hg 0.7500 0.7500 0.7500

## Properties
The energy of formation comes out at 0.628 eV/atom. The calculated volume comes out at 70.7 Å³/f.u. For the raw total energy, the calculation gives -4.972 eV per atom. The magnetic moment is 7.56 μB per formula unit. Its space group is No. 216.

Record 3
A geometry-optimized Pr4Ho3PuS8 structure. Source: the Alexandria database, functional PBE.

Cell lengths 8.0551, 8.0551, 8.0551 Å; angles 59.25, 59.25, 59.25 degrees
Atoms (fractional coordinates):
Pr 0.0000 0.0000 0.0000
Pr 0.0000 0.5000 0.5000
Pr 0.5000 0.0000 0.5000
Pr 0.5000 0.5000 0.0000
Ho 0.0000 0.0000 0.5000
Ho 0.0000 0.5000 0.0000
Ho 0.5000 0.0000 0.0000
Pu 0.5000 0.5000 0.5000
S 0.2412 0.7454 0.7454
S 0.2432 0.2432 0.2432
S 0.2546 0.2546 0.7588
S 0.2546 0.7588 0.2546
S 0.7454 0.2412 0.7454
S 0.7454 0.7454 0.2412
S 0.7568 0.7568 0.7568
S 0.7588 0.2546 0.2546

## Properties
The calculated volume comes out at 363.3 Å³/f.u. For the raw total energy, the calculation gives -6.997 eV per atom. As for the uncorrected formation energy: -1984 meV/atom. The magnetic moment is 5.57 μB per formula unit. Its space group is No. 166.

Record 4
A geometry-optimized Mg2TlBi structure. Source: the Alexandria database, functional PBE.

Cell lengths 5.3130, 5.3130, 5.3130 Å; angles 60.00, 60.00, 60.00 degrees
Atoms (fractional coordinates):
Mg 0.2500 0.2500 0.2500
Mg 0.7500 0.7500 0.7500
Tl 0.0000 0.0000 0.0000
Bi 0.5000 0.5000 0.5000

## Properties
The energy of formation comes out at -0.079 eV/atom. The calculated volume comes out at 106.1 Å³/f.u. For the raw total energy, the calculation gives -2.438 eV per atom. The value obtained for the relative energy among the computed polymorphs is 17 meV per atom. The magnetic moment is 0.00 μB per formula unit. Its space group is No. 225.

Record 5
A geometry-optimized BaScH3 structure. Source: the Alexandria database, functional PBE.

Cell lengths 4.7292, 4.7292, 4.7292 Å; angles 90.00, 90.00, 90.00 degrees
Atoms (fractional coordinates):
Ba 0.0000 0.0000 0.0000
Sc 0.5000 0.5000 0.5000
H 0.0000 0.0000 0.5000
H 0.0000 0.5000 0.0000
H 0.5000 0.0000 0.0000

## Properties
The calculated volume comes out at 105.8 Å³/f.u. For the raw total energy, the calculation gives -3.175 eV per atom. The value obtained for the relative energy among the computed polymorphs is 836 meV per atom. The magnetic moment is 1.01 μB per formula unit. Its space group is No. 221.

Record 6
A geometry-optimized K3ErNb2O8 structure. Source: the Alexandria database, functional PBE.

Cell lengths 6.1722, 6.1722, 7.7390 Å; angles 90.00, 90.00, 120.00 degrees
Atoms (fractional coordinates):
K 0.0000 0.0000 0.0000
K 0.3333 0.6667 0.6742
K 0.6667 0.3333 0.3258
Er 0.0000 0.0000 0.5000
Nb 0.3333 0.6667 0.2350
Nb 0.6667 0.3333 0.7650
O 0.1682 0.3365 0.3253
O 0.1682 0.8318 0.3253
O 0.3333 0.6667 0.9997
O 0.3365 0.1682 0.6747
O 0.6635 0.8318 0.3253
O 0.6667 0.3333 0.0003
O 0.8318 0.1682 0.6747
O 0.8318 0.6635 0.6747

## Properties
The calculated volume comes out at 255.3 Å³/f.u. For the raw total energy, the calculation gives -7.419 eV per atom. As for the uncorrected formation energy: -2586 meV/atom. The magnetic moment is 0.00 μB per formula unit. Its space group is No. 164.

Record 7
A geometry-optimized Ba2SrCdCu structure. Source: the Alexandria database, functional PBE.

Cell lengths 6.1879, 6.1879, 5.9844 Å; angles 90.00, 90.00, 90.00 degrees
Atoms (fractional coordinates):
Ba 0.0000 0.5000 0.0000
Ba 0.5000 0.0000 0.0000
Sr 0.0000 0.0000 0.5000
Cd 0.5000 0.5000 0.5000
Cu 0.0000 0.0000 0.0000

## Properties
The energy of formation comes out at 0.022 eV/atom. The calculated volume comes out at 229.1 Å³/f.u. For the raw total energy, the calculation gives -2.086 eV per atom. The value obtained for the relative energy among the computed polymorphs is 14 meV per atom. The magnetic moment is 0.00 μB per formula unit. Its space group is No. 123.

Record 8
A geometry-optimized TbVSb structure. Source: the Alexandria database, functional PBE.

Cell lengths 8.2515, 8.1245, 4.4561 Å; angles 75.79, 72.64, 31.57 degrees
Atoms (fractional coordinates):
Tb 0.1240 0.1240 0.8760
Tb 0.8760 0.8760 0.1240
V 0.3582 0.6418 0.3582
V 0.6418 0.3582 0.6418
Sb 0.3291 0.3291 0.6709
Sb 0.6709 0.6709 0.3291

## Properties
The calculated volume comes out at 74.6 Å³/f.u. For the raw total energy, the calculation gives -6.221 eV per atom. As for the uncorrected formation energy: -264 meV/atom. The magnetic moment is 0.00 μB per formula unit. Its space group is No. 69.